No. 1
An optimized crystal structure of AlSb2Se2, computed with PBE.

Cell lengths 5.7303, 5.7303, 8.8607 Å; angles 90.00, 90.00, 90.00 degrees
Element x y z (fractional)
Al  0.0000  0.0000  0.0000
Al  0.5000  0.5000  0.5000
Sb  0.0000  0.0000  0.3152
Sb  0.0000  0.0000  0.6848
Sb  0.5000  0.5000  0.1848
Sb  0.5000  0.5000  0.8152
Se  0.0000  0.5000  0.2500
Se  0.0000  0.5000  0.7500
Se  0.5000  0.0000  0.2500
Se  0.5000  0.0000  0.7500

Results
Fermi-level density of states, states/eV/f.u.: 1.4
Uncorrected energy, eV per atom: -3.663
E_form (uncorrected), eV/atom: 0.1288
V, Å³ per cell: 291


No. 2
An optimized crystal structure of LiOs2Se, computed with PBE.

Cell lengths 2.7458, 3.9673, 6.2625 Å; angles 90.00, 90.00, 90.00 degrees
Element x y z (fractional)
Li  0.0000  0.0000  0.0000
Os  0.0000  0.0000  0.4231
Os  0.5000  0.5000  0.2796
Se  0.5000  0.5000  0.8823

Results
Fermi-level density of states, states/eV/f.u.: 2.3
Uncorrected energy, eV per atom: -6.753
E_form (uncorrected), eV/atom: 0.2118
V, Å³ per cell: 68


No. 3
An optimized crystal structure of V2FePt, computed with PBE.

Cell lengths 6.5951, 6.5951, 5.1668 Å; angles 90.00, 90.00, 90.00 degrees
Element x y z (fractional)
V  0.2173  0.2500  0.1250
V  0.2500  0.7173  0.3750
V  0.2500  0.7827  0.8750
V  0.2827  0.2500  0.6250
V  0.7173  0.7500  0.6250
V  0.7500  0.2173  0.8750
V  0.7500  0.2827  0.3750
V  0.7827  0.7500  0.1250
Fe  0.0000  0.0000  0.0000
Fe  0.0000  0.5000  0.2500
Fe  0.5000  0.0000  0.7500
Fe  0.5000  0.5000  0.5000
Pt  0.0000  0.0000  0.5000
Pt  0.0000  0.5000  0.7500
Pt  0.5000  0.0000  0.2500
Pt  0.5000  0.5000  0.0000

Results
Energy of formation from the pure elements, eV/atom: 0.18
Fermi-level density of states, states/eV/f.u.: 6.5
Uncorrected energy, eV per atom: -8.005
Excess energy over the best structure of this formula in the dataset, eV/atom: 0.500
V, Å³ per cell: 225